[1]
Ba2MgCu9 | PBE | relaxed

Cell: 5.2114 5.2114 27.0904 Å, 90.00 90.00 120.00°
Space group R-3m (No. 166, hexagonal axes)
Unique sites:
Ba: 0.0000 0.0000 0.1359 [6 per cell]
Mg: 0.0000 0.0000 0.0000 [3 per cell]
Cu: 0.0000 0.0000 0.3321 [6 per cell]
Cu: 0.0000 0.0000 0.5000 [3 per cell]
Cu: 0.0043 0.5022 0.0728 [18 per cell]

Summary:
- E_tot (eV/atom) = -3.44
- formation enthalpy at 0 K (eV/f.u.) = 1.06
- mass density (g cm⁻³) = 6.8

---

[2]
Ba3MgCu | PBE | relaxed

Cell: 6.250 6.250 6.250 Å, 90.00 90.00 90.00°
Space group Pm-3m (No. 221)
Unique sites:
Ba: 0.000 0.000 0.500 [3 per cell]
Mg: 0.500 0.500 0.500 [1 per cell]
Cu: 0.000 0.000 0.000 [1 per cell]

Summary:
- E_tot (eV/atom) = -2.19
- formation enthalpy at 0 K (eV/f.u.) = 0.53
- mass density (g cm⁻³) = 3.4
- polymorph energy (0 for the lowest one) (kcal/mol of atoms) = 0.00